[1]
Compound: TcWSe2
Source: Alexandria
Functional: PBE
Structure: optimized geometry

Cell and atoms, written as extended XYZ:
```
4
Lattice="0.0000 3.2276 3.2276 3.2276 0.0000 3.2276 3.2276 3.2276 0.0000" Properties=species:S:1:pos:R:3 pbc="T T T"
Tc 0.0000 0.0000 0.0000
W 1.6138 1.6138 1.6138
Se 3.2276 3.2276 3.2276
Se 4.8413 4.8413 4.8413
```

Summary:
Energy above the most stable polymorph in this dataset (eV per atom): 0.9238
Energy relative to the elements, uncorrected (kJ/mol of formula units): 321

***

[2]
Compound: Tc2WSe
Source: Alexandria
Functional: PBE
Structure: optimized geometry

Cell and atoms, written as extended XYZ:
```
4
Lattice="4.6777 -1.4938 0.0000 4.6777 1.4938 0.0000 -0.2944 0.0000 4.5146" Properties=species:S:1:pos:R:3 pbc="T T T"
Tc 2.0476 0.0000 1.0330
Tc 7.0135 0.0000 3.4817
W 4.6777 0.0000 0.0000
Se -0.1472 0.0000 2.2573
```

Summary:
Energy relative to the elements, uncorrected (kJ/mol of formula units): 135

***

[3]
Compound: TcW2Se
Source: Alexandria
Functional: PBE
Structure: optimized geometry

Cell and atoms, written as extended XYZ:
```
4
Lattice="-1.8888 1.8888 4.4163 1.8888 -1.8888 4.4163 1.8888 1.8888 -4.4163" Properties=species:S:1:pos:R:3 pbc="T T T"
Tc 0.0000 0.0000 0.0000
W 1.8888 0.0000 2.2081
W 0.0000 0.0000 4.4163
Se 0.0000 1.8888 2.2081
```

Summary:
Energy relative to the elements, uncorrected (kJ/mol of formula units): 254

***

[4]
Compound: TcWSe
Source: Alexandria
Functional: PBE
Structure: optimized geometry

Cell and atoms, written as extended XYZ:
```
3
Lattice="0.0000 2.9937 2.9937 2.9937 0.0000 2.9937 2.9937 2.9937 0.0000" Properties=species:S:1:pos:R:3 pbc="T T T"
Tc 0.0000 0.0000 0.0000
W 1.4968 1.4968 1.4968
Se 4.4905 4.4905 4.4905
```

Summary:
Energy above the most stable polymorph in this dataset (eV per atom): 0.2228
Energy relative to the elements, uncorrected (kJ/mol of formula units): 118